Entry 1:
# Ca2SmMg2In2 (PBE, optimized geometry)
data_Ca2SmMg2In2
_space_group_name_H-M_alt 'R -3 m'
_space_group_IT_number 166
_space_group_name_Hall '-R 3 2"'
_cell_length_a 5.0385
_cell_length_b 5.0385
_cell_length_c 27.8482
_cell_angle_alpha 90.00
_cell_angle_beta 90.00
_cell_angle_gamma 120.00
loop_
_atom_site_label
_atom_site_type_symbol
_atom_site_fract_x
_atom_site_fract_y
_atom_site_fract_z
Ca1 Ca 0.0000 0.0000 0.1285
Sm1 Sm 0.0000 0.0000 0.0000
Mg1 Mg 0.0000 0.0000 0.3925
In1 In 0.0000 0.0000 0.2631
# - uncorrected energy (eV/atom) = -2.77
# - formation energy (meV per atom) = -288.5

Entry 2:
# CaMg2InSn (PBE, optimized geometry)
data_CaMg2InSn
_space_group_name_H-M_alt 'P 4/m m m'
_space_group_IT_number 123
_space_group_name_Hall '-P 4 2'
_cell_length_a 5.4309
_cell_length_b 5.4309
_cell_length_c 5.7405
_cell_angle_alpha 90.00
_cell_angle_beta 90.00
_cell_angle_gamma 90.00
loop_
_atom_site_label
_atom_site_type_symbol
_atom_site_fract_x
_atom_site_fract_y
_atom_site_fract_z
Ca1 Ca 0.0000 0.0000 0.0000
Mg1 Mg 0.0000 0.5000 0.5000
In1 In 0.5000 0.5000 0.0000
Sn1 Sn 0.5000 0.5000 0.5000
# - uncorrected energy (eV/atom) = -2.18
# - formation energy (meV per atom) = 204.7

Entry 3:
# SrCa2Mg2In2 (PBE, optimized geometry)
data_SrCa2Mg2In2
_space_group_name_H-M_alt 'R -3 m'
_space_group_IT_number 166
_space_group_name_Hall '-R 3 2"'
_cell_length_a 5.1135
_cell_length_b 5.1135
_cell_length_c 29.1402
_cell_angle_alpha 90.00
_cell_angle_beta 90.00
_cell_angle_gamma 120.00
loop_
_atom_site_label
_atom_site_type_symbol
_atom_site_fract_x
_atom_site_fract_y
_atom_site_fract_z
Sr1 Sr 0.0000 0.0000 0.0000
Ca1 Ca 0.0000 0.0000 0.1309
Mg1 Mg 0.0000 0.0000 0.4066
In1 In 0.0000 0.0000 0.2532
# - uncorrected energy (eV/atom) = -2.33
# - formation energy (meV per atom) = -280.6

Entry 4:
# SrCaMg2In2 (PBE, optimized geometry)
data_SrCaMg2In2
_space_group_name_H-M_alt 'P -3 m 1'
_space_group_IT_number 164
_space_group_name_Hall '-P 3 2"'
_cell_length_a 5.1154
_cell_length_b 5.1154
_cell_length_c 7.7421
_cell_angle_alpha 90.00
_cell_angle_beta 90.00
_cell_angle_gamma 120.00
loop_
_atom_site_label
_atom_site_type_symbol
_atom_site_fract_x
_atom_site_fract_y
_atom_site_fract_z
Sr1 Sr 0.0000 0.0000 0.0000
Ca1 Ca 0.0000 0.0000 0.5000
Mg1 Mg 0.3333 0.6667 0.7136
In1 In 0.3333 0.6667 0.2754
# - uncorrected energy (eV/atom) = -2.37
# - formation energy (meV per atom) = -315.9

Entry 5:
# CaTbMgIn (PBE, optimized geometry)
data_CaTbMgIn
_space_group_name_H-M_alt 'F -4 3 m'
_space_group_IT_number 216
_space_group_name_Hall 'F -4 2 3'
_cell_length_a 7.6383
_cell_length_b 7.6383
_cell_length_c 7.6383
_cell_angle_alpha 90.00
_cell_angle_beta 90.00
_cell_angle_gamma 90.00
loop_
_atom_site_label
_atom_site_type_symbol
_atom_site_fract_x
_atom_site_fract_y
_atom_site_fract_z
Ca1 Ca 0.0000 0.0000 0.0000
Tb1 Tb 0.0000 0.0000 0.5000
Mg1 Mg 0.2500 0.2500 0.2500
In1 In 0.2500 0.2500 0.7500
# - uncorrected energy (eV/atom) = -3.05
# - formation energy (meV per atom) = -312.9

Entry 6:
# CaThMgIn (PBE, optimized geometry)
data_CaThMgIn
_space_group_name_H-M_alt 'F -4 3 m'
_space_group_IT_number 216
_space_group_name_Hall 'F -4 2 3'
_cell_length_a 7.7204
_cell_length_b 7.7204
_cell_length_c 7.7204
_cell_angle_alpha 90.00
_cell_angle_beta 90.00
_cell_angle_gamma 90.00
loop_
_atom_site_label
_atom_site_type_symbol
_atom_site_fract_x
_atom_site_fract_y
_atom_site_fract_z
Ca1 Ca 0.0000 0.0000 0.0000
Th1 Th 0.0000 0.0000 0.5000
Mg1 Mg 0.2500 0.2500 0.2500
In1 In 0.2500 0.2500 0.7500
# - uncorrected energy (eV/atom) = -3.57
# - formation energy (meV per atom) = -134.9

Entry 7:
# CaMg2Tl2In2 (PBE, optimized geometry)
data_CaMg2Tl2In2
_space_group_name_H-M_alt 'C 1 2/m 1'
_space_group_IT_number 12
_space_group_name_Hall '-C 2y'
_cell_length_a 9.3332
_cell_length_b 4.9360
_cell_length_c 8.4330
_cell_angle_alpha 90.00
_cell_angle_beta 108.05
_cell_angle_gamma 90.00
loop_
_atom_site_label
_atom_site_type_symbol
_atom_site_fract_x
_atom_site_fract_y
_atom_site_fract_z
Ca1 Ca 0.0000 0.0000 0.0000
Mg1 Mg 0.0772 0.5000 0.7125
Tl1 Tl 0.2206 0.5000 0.1713
In1 In 0.1344 0.0000 0.4185
# - uncorrected energy (eV/atom) = -2.35
# - formation energy (meV per atom) = -151.5

Entry 8:
# CaTmMgIn (PBE, optimized geometry)
data_CaTmMgIn
_space_group_name_H-M_alt 'F -4 3 m'
_space_group_IT_number 216
_space_group_name_Hall 'F -4 2 3'
_cell_length_a 7.5772
_cell_length_b 7.5772
_cell_length_c 7.5772
_cell_angle_alpha 90.00
_cell_angle_beta 90.00
_cell_angle_gamma 90.00
loop_
_atom_site_label
_atom_site_type_symbol
_atom_site_fract_x
_atom_site_fract_y
_atom_site_fract_z
Ca1 Ca 0.0000 0.0000 0.0000
Tm1 Tm 0.0000 0.0000 0.5000
Mg1 Mg 0.2500 0.2500 0.7500
In1 In 0.2500 0.2500 0.2500
# - uncorrected energy (eV/atom) = -2.99
# - formation energy (meV per atom) = -285.8

Entry 9:
# Ca2TmMg2In5 (PBE, optimized geometry)
data_Ca2TmMg2In5
_space_group_name_H-M_alt 'P 4/m b m'
_space_group_IT_number 127
_space_group_name_Hall '-P 4 2ab'
_cell_length_a 10.7661
_cell_length_b 10.7661
_cell_length_c 4.5217
_cell_angle_alpha 90.00
_cell_angle_beta 90.00
_cell_angle_gamma 90.00
loop_
_atom_site_label
_atom_site_type_symbol
_atom_site_fract_x
_atom_site_fract_y
_atom_site_fract_z
Ca1 Ca 0.1735 0.3265 0.0000
Tm1 Tm 0.0000 0.0000 0.0000
Mg1 Mg 0.1233 0.6233 0.0000
In1 In 0.0000 0.5000 0.5000
In2 In 0.0695 0.7968 0.5000
# - uncorrected energy (eV/atom) = -2.81
# - formation energy (meV per atom) = -278.6

Entry 10:
# CaYMg2In (PBE, optimized geometry)
data_CaYMg2In
_space_group_name_H-M_alt 'P 4/m m m'
_space_group_IT_number 123
_space_group_name_Hall '-P 4 2'
_cell_length_a 5.3710
_cell_length_b 5.3710
_cell_length_c 5.8367
_cell_angle_alpha 90.00
_cell_angle_beta 90.00
_cell_angle_gamma 90.00
loop_
_atom_site_label
_atom_site_type_symbol
_atom_site_fract_x
_atom_site_fract_y
_atom_site_fract_z
Ca1 Ca 0.0000 0.0000 0.0000
Y1 Y 0.5000 0.5000 0.0000
Mg1 Mg 0.0000 0.5000 0.5000
In1 In 0.5000 0.5000 0.5000
# - uncorrected energy (eV/atom) = -2.68
# - formation energy (meV per atom) = 199.9

Entry 11:
# Ca2MgZn3In4 (PBE, optimized geometry)
data_Ca2MgZn3In4
_space_group_name_H-M_alt 'P -4 m 2'
_space_group_IT_number 115
_space_group_name_Hall 'P -4 -2'
_cell_length_a 4.3472
_cell_length_b 4.3472
_cell_length_c 12.6668
_cell_angle_alpha 90.00
_cell_angle_beta 90.00
_cell_angle_gamma 90.00
loop_
_atom_site_label
_atom_site_type_symbol
_atom_site_fract_x
_atom_site_fract_y
_atom_site_fract_z
Ca1 Ca 0.0000 0.5000 0.2314
Mg1 Mg 0.0000 0.0000 0.5000
Zn1 Zn 0.0000 0.5000 0.8586
Zn2 Zn 0.5000 0.5000 0.5000
In1 In 0.0000 0.0000 0.0000
In2 In 0.0000 0.5000 0.6491
In3 In 0.5000 0.5000 0.0000
# - uncorrected energy (eV/atom) = -2.27
# - formation energy (meV per atom) = -234.6

Entry 12:
# Ca5Mg2Zn2In (PBE, optimized geometry)
data_Ca5Mg2Zn2In
_space_group_name_H-M_alt 'P 4/m b m'
_space_group_IT_number 127
_space_group_name_Hall '-P 4 2ab'
_cell_length_a 12.5814
_cell_length_b 12.5814
_cell_length_c 3.7913
_cell_angle_alpha 90.00
_cell_angle_beta 90.00
_cell_angle_gamma 90.00
loop_
_atom_site_label
_atom_site_type_symbol
_atom_site_fract_x
_atom_site_fract_y
_atom_site_fract_z
Ca1 Ca 0.0000 0.5000 0.0000
Ca2 Ca 0.0398 0.2051 0.0000
Mg1 Mg 0.1935 0.6935 0.5000
Zn1 Zn 0.1390 0.3610 0.5000
In1 In 0.0000 0.0000 0.5000
# - uncorrected energy (eV/atom) = -1.98
# - formation energy (meV per atom) = -136.4

Entry 13:
# Ca2Mg12Zn3In (PBE, optimized geometry)
data_Ca2Mg12Zn3In
_space_group_name_H-M_alt 'R -3 m'
_space_group_IT_number 166
_space_group_name_Hall '-R 3 2"'
_cell_length_a 10.3463
_cell_length_b 10.3463
_cell_length_c 14.4470
_cell_angle_alpha 90.00
_cell_angle_beta 90.00
_cell_angle_gamma 120.00
loop_
_atom_site_label
_atom_site_type_symbol
_atom_site_fract_x
_atom_site_fract_y
_atom_site_fract_z
Ca1 Ca 0.0000 0.0000 0.1287
Mg1 Mg 0.0083 0.5041 0.1910
Mg2 Mg 0.0277 0.5138 0.3949
Zn1 Zn 0.0000 0.5000 0.0000
In1 In 0.0000 0.0000 0.5000
# - uncorrected energy (eV/atom) = -1.55
# - formation energy (meV per atom) = 103.0

Entry 14:
# CaMnIn2 (PBE, optimized geometry)
data_CaMnIn2
_space_group_name_H-M_alt 'R -3 m'
_space_group_IT_number 166
_space_group_name_Hall '-R 3 2"'
_cell_length_a 3.4812
_cell_length_b 3.4812
_cell_length_c 28.4677
_cell_angle_alpha 90.00
_cell_angle_beta 90.00
_cell_angle_gamma 120.00
loop_
_atom_site_label
_atom_site_type_symbol
_atom_site_fract_x
_atom_site_fract_y
_atom_site_fract_z
Ca1 Ca 0.0000 0.0000 0.0000
Mn1 Mn 0.0000 0.0000 0.5000
In1 In 0.0000 0.0000 0.2409
# - uncorrected energy (eV/atom) = -4.08
# - formation energy (meV per atom) = 84.8

Entry 15:
# CaMn2In (PBE, optimized geometry)
data_CaMn2In
_space_group_name_H-M_alt 'F -4 3 m'
_space_group_IT_number 216
_space_group_name_Hall 'F -4 2 3'
_cell_length_a 6.9925
_cell_length_b 6.9925
_cell_length_c 6.9925
_cell_angle_alpha 90.00
_cell_angle_beta 90.00
_cell_angle_gamma 90.00
loop_
_atom_site_label
_atom_site_type_symbol
_atom_site_fract_x
_atom_site_fract_y
_atom_site_fract_z
Ca1 Ca 0.0000 0.0000 0.0000
Mn1 Mn 0.0000 0.0000 0.5000
Mn2 Mn 0.2500 0.2500 0.7500
In1 In 0.2500 0.2500 0.2500
# - uncorrected energy (eV/atom) = -5.43
# - formation energy (meV per atom) = 337.9

Entry 16:
# CaMnIn (PBE, optimized geometry)
data_CaMnIn
_space_group_name_H-M_alt 'P 3 m 1'
_space_group_IT_number 156
_space_group_name_Hall 'P 3 -2"'
_cell_length_a 3.4566
_cell_length_b 3.4566
_cell_length_c 7.3308
_cell_angle_alpha 90.00
_cell_angle_beta 90.00
_cell_angle_gamma 120.00
loop_
_atom_site_label
_atom_site_type_symbol
_atom_site_fract_x
_atom_site_fract_y
_atom_site_fract_z
Ca1 Ca 0.0000 0.0000 0.0000
Mn1 Mn 0.3333 0.6667 0.6494
In1 In 0.6667 0.3333 0.3648
# - uncorrected energy (eV/atom) = -4.31
# - formation energy (meV per atom) = 322.3

Entry 17:
# Ca2MnIn (PBE, optimized geometry)
data_Ca2MnIn
_space_group_name_H-M_alt 'C 1 m 1'
_space_group_IT_number 8
_space_group_name_Hall 'C -2y'
_cell_length_a 12.2311
_cell_length_b 3.7555
_cell_length_c 5.3305
_cell_angle_alpha 90.00
_cell_angle_beta 115.76
_cell_angle_gamma 90.00
loop_
_atom_site_label
_atom_site_type_symbol
_atom_site_fract_x
_atom_site_fract_y
_atom_site_fract_z
Ca1 Ca 0.0000 0.0000 0.0000
Ca2 Ca 0.2106 0.0000 0.7101
Mn1 Mn 0.2626 0.5000 0.2616
In1 In 0.4508 0.0000 0.4512
# - uncorrected energy (eV/atom) = -3.93
# - formation energy (meV per atom) = 44.1

Entry 18:
# CaMn2In (PBE, optimized geometry)
data_CaMn2In
_space_group_name_H-M_alt 'P 4/m m m'
_space_group_IT_number 123
_space_group_name_Hall '-P 4 2'
_cell_length_a 4.4618
_cell_length_b 4.4618
_cell_length_c 4.2227
_cell_angle_alpha 90.00
_cell_angle_beta 90.00
_cell_angle_gamma 90.00
loop_
_atom_site_label
_atom_site_type_symbol
_atom_site_fract_x
_atom_site_fract_y
_atom_site_fract_z
Ca1 Ca 0.0000 0.0000 0.0000
Mn1 Mn 0.0000 0.5000 0.5000
In1 In 0.5000 0.5000 0.0000
# - uncorrected energy (eV/atom) = -5.44
# - formation energy (meV per atom) = 328.2

Entry 19:
# Ca3MnIn (PBE, optimized geometry)
data_Ca3MnIn
_space_group_name_H-M_alt 'P m -3 m'
_space_group_IT_number 221
_space_group_name_Hall '-P 4 2 3'
_cell_length_a 5.4886
_cell_length_b 5.4886
_cell_length_c 5.4886
_cell_angle_alpha 90.00
_cell_angle_beta 90.00
_cell_angle_gamma 90.00
loop_
_atom_site_label
_atom_site_type_symbol
_atom_site_fract_x
_atom_site_fract_y
_atom_site_fract_z
Ca1 Ca 0.0000 0.0000 0.5000
Mn1 Mn 0.0000 0.0000 0.0000
In1 In 0.5000 0.5000 0.5000
# - uncorrected energy (eV/atom) = -3.23
# - relative energy among the computed polymorphs (meV/atom) = 0.0
# - formation energy (meV per atom) = 354.7

Entry 20:
# CaMnIn4 (PBE, optimized geometry)
data_CaMnIn4
_space_group_name_H-M_alt 'F -4 3 m'
_space_group_IT_number 216
_space_group_name_Hall 'F -4 2 3'
_cell_length_a 8.5360
_cell_length_b 8.5360
_cell_length_c 8.5360
_cell_angle_alpha 90.00
_cell_angle_beta 90.00
_cell_angle_gamma 90.00
loop_
_atom_site_label
_atom_site_type_symbol
_atom_site_fract_x
_atom_site_fract_y
_atom_site_fract_z
Ca1 Ca 0.0000 0.0000 0.0000
Mn1 Mn 0.2500 0.2500 0.2500
In1 In 0.1248 0.1248 0.6248
# - uncorrected energy (eV/atom) = -3.55
# - formation energy (meV per atom) = 141.9

Ordered total moment results: 0.0, 0.0, 0.0, 0.0, 0.0, 0.0, 0.0, 0.0, 0.0, 0.0, 0.0, 0.0, 0.0, 11.8, 32.4, 3.7, 7.5, 7.4, 2.6, 16.0; unit Bohr magnetons per cell.